Here is a relaxed BeTe2Br crystal from the Alexandria database. Energies are from PBE.

abc: 8.045 8.045 8.045
angles: 156.79 135.22 51.03
Atoms (fractional coordinates):
Be (0.000, 0.000, 0.000)
Te (0.393, 0.393, 0.000)
Te (0.859, 0.359, 0.500)
Br (0.103, 0.603, 0.500)

ΔE_f (raw) ... -0.12 eV/atom
Distance to the lowest polymorph of the same formula ... 84 meV per atom